No. 1
A plane-wave DFT calculation with PBE-GGA was carried out for an optimized crystal structure of SmY2Th.

The energy of formation from the pure elements comes out at 0.01 eV/atom. Its polymorph energy (0 for the lowest one) is 0.000 eV/atom.

Geometry as POSCAR:
```
SmY2Th
1.0
1.805 1.042 11.563
-1.805 1.042 11.563
0.000 -2.084 11.563
Sm Y Th
1 2 1
direct
0.000 0.000 0.000
0.249 0.249 0.249
0.419 0.419 0.419
0.834 0.834 0.834
```


No. 2
A plane-wave DFT calculation with PBE-GGA was carried out for an optimized crystal structure of Sm8YTh4.

The energy of formation from the pure elements comes out at 0.57 eV/atom.

Geometry as POSCAR:
```
Sm8YTh4
1.0
5.457 3.150 4.717
-5.457 3.150 4.717
0.000 -6.301 4.717
Sm Y Th
8 1 4
direct
0.222 0.753 0.753
0.241 0.241 0.241
0.247 0.247 0.778
0.247 0.778 0.247
0.753 0.222 0.753
0.753 0.753 0.222
0.759 0.759 0.759
0.778 0.247 0.247
0.500 0.500 0.500
0.000 0.000 0.000
0.000 0.500 0.500
0.500 0.000 0.500
0.500 0.500 0.000
```


No. 3
A plane-wave DFT calculation with PBE-GGA was carried out for an optimized crystal structure of Sm5Y2Th4.

The energy of formation from the pure elements comes out at 0.23 eV/atom.

Geometry as POSCAR:
```
Sm5Y2Th4
1.0
6.060 -3.486 0.000
6.060 3.486 0.000
-4.024 0.000 8.804
Sm Y Th
5 2 4
direct
0.000 0.000 0.000
0.161 0.620 0.671
0.380 0.839 0.329
0.620 0.161 0.671
0.839 0.380 0.329
0.127 0.127 0.667
0.873 0.873 0.333
0.347 0.347 0.327
0.356 0.356 0.007
0.644 0.644 0.993
0.653 0.653 0.673
```


No. 4
A plane-wave DFT calculation with PBE-GGA was carried out for an optimized crystal structure of SmYTh.

The energy of formation from the pure elements comes out at 0.03 eV/atom. Its polymorph energy (0 for the lowest one) is 0.000 eV/atom.

Geometry as POSCAR:
```
SmYTh
1.0
3.598 0.000 0.000
-1.799 3.116 0.000
0.000 0.000 8.784
Sm Y Th
1 1 1
direct
0.000 0.000 0.000
0.333 0.667 0.650
0.667 0.333 0.327
```


No. 5
A plane-wave DFT calculation with PBE-GGA was carried out for an optimized crystal structure of Sm4YTh2.

The energy of formation from the pure elements comes out at 0.35 eV/atom. Its polymorph energy (0 for the lowest one) is 0.000 eV/atom.

Geometry as POSCAR:
```
Sm4YTh2
1.0
4.913 0.000 0.000
0.000 5.132 0.000
-0.013 0.000 9.897
Sm Y Th
4 1 2
direct
0.000 0.000 0.241
0.000 0.000 0.759
0.500 0.500 0.249
0.500 0.500 0.751
0.000 0.500 0.500
0.000 0.500 0.000
0.500 0.000 0.500
```


No. 6
A plane-wave DFT calculation with PBE-GGA was carried out for an optimized crystal structure of Sm3YTh3.

The energy of formation from the pure elements comes out at 0.06 eV/atom.

Geometry as POSCAR:
```
Sm3YTh3
1.0
9.579 0.000 0.000
-4.789 8.295 0.000
0.000 0.000 5.878
Sm Y Th
6 2 6
direct
0.043 0.242 0.250
0.199 0.957 0.250
0.242 0.199 0.750
0.758 0.801 0.250
0.801 0.043 0.750
0.957 0.758 0.750
0.333 0.667 0.250
0.667 0.333 0.750
0.104 0.489 0.750
0.385 0.896 0.750
0.489 0.385 0.250
0.511 0.615 0.750
0.615 0.104 0.250
0.896 0.511 0.250
```


No. 7
A plane-wave DFT calculation with PBE-GGA was carried out for an optimized crystal structure of Sm4Y2Th.

The energy of formation from the pure elements comes out at 0.30 eV/atom. Its polymorph energy (0 for the lowest one) is 0.266 eV/atom.

Geometry as POSCAR:
```
Sm4Y2Th
1.0
-3.384 5.781 6.102
3.384 -5.781 6.102
3.384 5.781 -6.102
Sm Y Th
8 4 2
direct
0.155 0.151 0.004
0.239 0.212 0.473
0.239 0.767 0.027
0.353 0.849 0.504
0.647 0.151 0.496
0.761 0.233 0.973
0.761 0.788 0.527
0.845 0.849 0.996
0.000 0.500 0.500
0.029 0.279 0.750
0.500 0.500 0.000
0.971 0.721 0.250
0.500 0.000 0.000
0.500 0.500 0.500
```


No. 8
A plane-wave DFT calculation with PBE-GGA was carried out for an optimized crystal structure of SmYTh.

The energy of formation from the pure elements comes out at 0.03 eV/atom. Its polymorph energy (0 for the lowest one) is 0.002 eV/atom.

Geometry as POSCAR:
```
SmYTh
1.0
-1.804 1.804 7.575
1.804 -1.804 7.575
1.804 1.804 -7.575
Sm Y Th
1 1 1
direct
0.000 0.000 0.000
0.320 0.320 0.000
0.660 0.660 0.000
```


No. 9
A plane-wave DFT calculation with PBE-GGA was carried out for an optimized crystal structure of Sm2YTh6.

The energy of formation from the pure elements comes out at 0.10 eV/atom.

Geometry as POSCAR:
```
Sm2YTh6
1.0
3.554 0.000 0.000
-1.777 3.078 0.000
0.000 0.000 27.089
Sm Y Th
2 1 6
direct
0.000 0.000 0.171
0.000 0.000 0.829
0.333 0.667 0.500
0.000 0.000 0.390
0.000 0.000 0.610
0.333 0.667 0.061
0.333 0.667 0.282
0.333 0.667 0.718
0.333 0.667 0.939
```


No. 10
A plane-wave DFT calculation with PBE-GGA was carried out for an optimized crystal structure of Sm5Y2Th3.

The energy of formation from the pure elements comes out at 0.05 eV/atom.

Geometry as POSCAR:
```
Sm5Y2Th3
1.0
5.699 -2.541 0.000
5.699 2.541 0.000
-0.017 0.000 11.399
Sm Y Th
5 2 3
direct
0.000 0.000 0.000
0.200 0.200 0.599
0.302 0.302 0.898
0.698 0.698 0.102
0.800 0.800 0.401
0.402 0.402 0.205
0.598 0.598 0.795
0.098 0.098 0.302
0.500 0.500 0.500
0.902 0.902 0.698
```


No. 11
A plane-wave DFT calculation with PBE-GGA was carried out for an optimized crystal structure of Sm2YTh3.

The energy of formation from the pure elements comes out at 0.19 eV/atom.

Geometry as POSCAR:
```
Sm2YTh3
1.0
5.143 -5.700 0.000
5.143 5.700 0.000
0.000 0.000 6.770
Sm Y Th
4 2 6
direct
0.063 0.604 0.750
0.396 0.937 0.750
0.604 0.063 0.250
0.937 0.396 0.250
0.270 0.730 0.250
0.730 0.270 0.750
0.000 0.000 0.000
0.000 0.000 0.500
0.333 0.333 0.000
0.333 0.333 0.500
0.667 0.667 0.000
0.667 0.667 0.500
```


No. 12
A plane-wave DFT calculation with PBE-GGA was carried out for an optimized crystal structure of Sm4Y15Th.

The energy of formation from the pure elements comes out at 0.02 eV/atom.

Geometry as POSCAR:
```
Sm4Y15Th
1.0
5.080 0.000 0.000
0.000 5.080 0.000
0.000 0.000 25.277
Sm Y Th
4 15 1
direct
0.000 0.000 0.100
0.000 0.000 0.301
0.000 0.000 0.699
0.000 0.000 0.900
0.000 0.500 0.000
0.000 0.500 0.201
0.000 0.500 0.402
0.000 0.500 0.598
0.000 0.500 0.799
0.500 0.000 0.000
0.500 0.000 0.201
0.500 0.000 0.402
0.500 0.000 0.598
0.500 0.000 0.799
0.500 0.500 0.100
0.500 0.500 0.300
0.500 0.500 0.500
0.500 0.500 0.700
0.500 0.500 0.900
0.000 0.000 0.500
```


No. 13
A plane-wave DFT calculation with PBE-GGA was carried out for an optimized crystal structure of SmYTh2.

The energy of formation from the pure elements comes out at 0.05 eV/atom. Its polymorph energy (0 for the lowest one) is 0.019 eV/atom.

Geometry as POSCAR:
```
SmYTh2
1.0
1.791 1.034 11.716
-1.791 1.034 11.716
0.000 -2.068 11.716
Sm Y Th
1 1 2
direct
0.000 0.000 0.000
0.170 0.170 0.170
0.585 0.585 0.585
0.752 0.752 0.752
```


No. 14
A plane-wave DFT calculation with PBE-GGA was carried out for an optimized crystal structure of Sm2Y5Th.

The energy of formation from the pure elements comes out at 0.03 eV/atom.

Geometry as POSCAR:
```
Sm2Y5Th
1.0
7.168 0.000 0.000
0.000 14.373 0.000
0.000 0.000 5.083
Sm Y Th
4 10 2
direct
0.247 0.123 0.000
0.253 0.623 0.000
0.747 0.377 0.000
0.753 0.877 0.000
0.000 0.500 0.500
0.004 0.248 0.500
0.242 0.878 0.000
0.258 0.378 0.000
0.496 0.748 0.500
0.500 0.000 0.500
0.504 0.252 0.500
0.742 0.622 0.000
0.758 0.122 0.000
0.996 0.752 0.500
0.000 0.000 0.500
0.500 0.500 0.500
```


No. 15
A plane-wave DFT calculation with PBE-GGA was carried out for an optimized crystal structure of SmY12Th5.

The energy of formation from the pure elements comes out at 0.01 eV/atom.

Geometry as POSCAR:
```
SmY12Th5
1.0
3.118 -5.399 0.000
3.118 5.399 0.000
-2.078 0.000 17.301
Sm Y Th
1 12 5
direct
0.000 0.000 0.000
0.055 0.718 0.166
0.112 0.446 0.337
0.221 0.221 0.662
0.282 0.945 0.834
0.392 0.392 0.166
0.446 0.112 0.337
0.554 0.888 0.663
0.608 0.608 0.834
0.718 0.055 0.166
0.779 0.779 0.338
0.888 0.554 0.663
0.945 0.282 0.834
0.167 0.833 0.500
0.333 0.667 0.000
0.500 0.500 0.500
0.667 0.333 0.000
0.833 0.167 0.500
```


No. 16
A plane-wave DFT calculation with PBE-GGA was carried out for an optimized crystal structure of Sm9YTh2.

The energy of formation from the pure elements comes out at 0.04 eV/atom.

Geometry as POSCAR:
```
Sm9YTh2
1.0
5.108 0.000 0.000
0.000 5.108 0.000
0.000 0.000 15.325
Sm Y Th
9 1 2
direct
0.000 0.000 0.000
0.000 0.000 0.333
0.000 0.000 0.667
0.000 0.500 0.169
0.000 0.500 0.500
0.000 0.500 0.831
0.500 0.000 0.169
0.500 0.000 0.500
0.500 0.000 0.831
0.500 0.500 0.000
0.500 0.500 0.334
0.500 0.500 0.666
```


No. 17
A plane-wave DFT calculation with PBE-GGA was carried out for an optimized crystal structure of Sm10Y6Th.

The energy of formation from the pure elements comes out at 0.15 eV/atom.

Geometry as POSCAR:
```
Sm10Y6Th
1.0
9.784 0.000 0.000
-4.892 8.473 0.000
0.000 0.000 6.945
Sm Y Th
10 6 1
direct
0.000 0.277 0.322
0.000 0.723 0.678
0.277 0.000 0.322
0.277 0.277 0.678
0.333 0.667 0.000
0.333 0.667 0.500
0.667 0.333 0.000
0.667 0.333 0.500
0.723 0.000 0.678
0.723 0.723 0.322
0.000 0.367 0.814
0.000 0.633 0.186
0.367 0.000 0.814
0.367 0.367 0.186
0.633 0.000 0.186
0.633 0.633 0.814
0.000 0.000 0.000
```


No. 18
A plane-wave DFT calculation with PBE-GGA was carried out for an optimized crystal structure of SmY14Th.

The energy of formation from the pure elements comes out at 0.02 eV/atom.

Geometry as POSCAR:
```
SmY14Th
1.0
7.167 0.000 0.000
0.000 7.167 0.000
0.000 0.000 10.101
Sm Y Th
1 14 1
direct
0.000 0.000 0.000
0.000 0.000 0.500
0.000 0.500 0.000
0.000 0.500 0.500
0.252 0.252 0.249
0.252 0.252 0.751
0.252 0.748 0.249
0.252 0.748 0.751
0.500 0.000 0.000
0.500 0.000 0.500
0.500 0.500 0.500
0.748 0.252 0.249
0.748 0.252 0.751
0.748 0.748 0.249
0.748 0.748 0.751
0.500 0.500 0.000
```


No. 19
A plane-wave DFT calculation with PBE-GGA was carried out for an optimized crystal structure of Sm4Y5Th4.

The energy of formation from the pure elements comes out at 0.03 eV/atom.

Geometry as POSCAR:
```
Sm4Y5Th4
1.0
-6.483 6.483 2.539
6.483 -6.483 2.539
6.483 6.483 -2.539
Sm Y Th
4 5 4
direct
0.153 0.766 0.919
0.234 0.153 0.387
0.766 0.847 0.613
0.847 0.234 0.081
0.000 0.000 0.000
0.305 0.538 0.842
0.462 0.305 0.767
0.538 0.695 0.233
0.695 0.462 0.158
0.075 0.388 0.464
0.388 0.925 0.313
0.612 0.075 0.687
0.925 0.612 0.536
```


No. 20
A plane-wave DFT calculation with PBE-GGA was carried out for an optimized crystal structure of SmY2Th4.

The energy of formation from the pure elements comes out at 0.31 eV/atom.

Geometry as POSCAR:
```
SmY2Th4
1.0
9.305 0.000 0.000
0.000 9.305 0.000
0.000 0.000 5.654
Sm Y Th
2 4 8
direct
0.000 0.000 0.000
0.500 0.500 0.500
0.180 0.180 0.500
0.320 0.680 0.000
0.680 0.320 0.000
0.820 0.820 0.500
0.113 0.374 0.000
0.126 0.613 0.500
0.374 0.113 0.000
0.387 0.874 0.500
0.613 0.126 0.500
0.626 0.887 0.000
0.874 0.387 0.500
0.887 0.626 0.000
```